{
  "formula": "CuMoPO2",
  "functional": "PBE with a Hubbard U",
  "state": "optimized geometry",
  "final_energy_ev_per_atom": -5.810,
  "spacegroup": "P4/mmm",
  "lattice": [[3.775, 0.000, 0.000], [0.000, 3.775, 0.000], [0.000, 0.000, 5.174]],
  "species": ["Cu", "Mo", "P", "O", "O"],
  "frac_coords": [[0.000, 0.000, 0.000], [0.500, 0.500, 0.500], [0.500, 0.500, 0.000], [0.000, 0.500, 0.500], [0.500, 0.000, 0.500]]
}